*1*
VASP calculation (GGA-PBE) on ScSb2TeAs after structural relaxation.

The calculated volume is 32.3 Å³ per atom. Its total moment is 0.000 μB/atom.

The space group is P4/mmm (No. 123) and the conventional cell measures 5.4890, 5.4890 and 5.3576 Å, with angles of 90.00, 90.00 and 90.00 degrees. Symmetry generates all atoms from Sc at (0.0000, 0.0000, 0.0000), Sb at (0.0000, 0.5000, 0.0000), Te at (0.0000, 0.0000, 0.5000) and As at (0.5000, 0.5000, 0.5000).



*2*
VASP calculation (GGA-PBE) on ScSb2TeAs after structural relaxation.

The calculated volume is 30.2 Å³ per atom. Its total moment is 0.000 μB/atom.

The space group is P4/mmm (No. 123) and the conventional cell measures 5.2612, 5.2612 and 5.4584 Å, with angles of 90.00, 90.00 and 90.00 degrees. Symmetry generates all atoms from Sc at (0.0000, 0.0000, 0.0000), Sb at (0.0000, 0.5000, 0.5000), Te at (0.5000, 0.5000, 0.0000) and As at (0.5000, 0.5000, 0.5000).



Which of the structures shown above is the most stable? The most stable is *2*.